1.
Material: Sr3HgBi
Method: DFT, meta-GGA SCAN
State: PBEsol geometry

Calculated values
Energy of formation (eV per atom): -0.2964
Symmetry: No. 221
DOS(E_F) (states/eV per atom): 0.8714

```
Sr3HgBi
1.0
-1.992 5.737 -1.654
1.440 -1.231 -6.003
-5.795 -2.278 -0.923
Sr Bi Hg
3 1 1
direct
0.000 0.500 0.000
0.000 0.000 0.500
0.500 0.000 0.000
0.000 0.000 0.000
0.500 0.500 0.500
```


2.
Material: Si4Ag
Method: DFT, meta-GGA SCAN
State: PBEsol geometry

Calculated values
Formation energy without anion corrections (meV/atom): 474
Symmetry: No. 139
DOS(E_F) (states/eV per atom): 0.2740

```
Si4Ag
1.0
4.361 0.000 0.000
0.000 4.361 0.000
-2.181 -2.181 4.475
Ag Si
1 4
direct
0.000 0.000 0.000
0.750 0.250 0.500
0.250 0.750 0.500
0.628 0.628 0.257
0.372 0.372 0.743
```